The following is a DFT calculation (GGA-PBE) of a relaxed LiMnBeRu crystal.

Values from the calculation:
**Spin magnetization**: 0.000 μB/atom
**Calculated formation energy**: 5 meV/atom
**Density of states at the Fermi level**: 1.396 states/eV/f.u.
**Total energy**: -6.02 eV/atom

The structure in POSCAR format:
```
LiMnBeRu
1.0
3.9616 0.0000 0.0000
1.9808 3.4309 0.0000
1.9808 1.1436 3.2347
Be Mn Li Ru
1 1 1 1
Cartesian
0.0000 0.0000 0.0000
3.9616 2.2873 1.6173
1.9808 1.1436 0.8087
5.9425 3.4309 2.4260
```